A geometry-optimized ErHfCu2 structure, computed with PBE-GGA.

The space group is Fm-3m (No. 225) and the conventional cell measures 6.6625, 6.6625 and 6.6625 Å, with angles of 90.00, 90.00 and 90.00 degrees. The distinct sites, in fractional coordinates, are Er at (0.0000, 0.0000, 0.0000), Hf at (0.0000, 0.0000, 0.5000) and Cu at (0.2500, 0.2500, 0.2500).

The crystal system is cubic. As for the energy above the lowest structure with this stoichiometry: 47 meV/atom. The total energy comes out at -5.79 eV per atom. The formation energy is -0.12 eV per atom. The value obtained for the total magnetization is 0.000 μB per formula unit.

---

A geometry-optimized ErHfCu4 structure, computed with PBE-GGA.

The space group is F-43m (No. 216) and the conventional cell measures 7.2408, 7.2408 and 7.2408 Å, with angles of 90.00, 90.00 and 90.00 degrees. The distinct sites, in fractional coordinates, are Er at (0.0000, 0.0000, 0.0000), Hf at (0.2500, 0.2500, 0.2500) and Cu at (0.1244, 0.1244, 0.6244).

The crystal system is cubic. As for the energy above the lowest structure with this stoichiometry: 90 meV/atom. The total energy comes out at -5.25 eV per atom. The formation energy is -0.10 eV per atom. The value obtained for the total magnetization is 0.000 μB per formula unit.

---

| no. | calculated volume (Å³ per atom) |
| --- | --- |
| 1 | 18.5 |
| 2 | 15.8 |